1.
A plane-wave DFT calculation with GGA-PBE was carried out for a relaxed UBeGe crystal.

Computed properties:
- calculated density (Mg/m³) = 11.1
- raw total energy (eV/atom) = -6.35

CIF file:
```
data_UBeGe
_symmetry_space_group_name_H-M 'I 4 m m'
_symmetry_Int_Tables_number 107
_symmetry_space_group_name_Hall 'I 4 -2'
_cell_length_a 2.9230
_cell_length_b 2.9230
_cell_length_c 11.2277
_cell_angle_alpha 90.00
_cell_angle_beta 90.00
_cell_angle_gamma 90.00
loop_
_atom_site_label
_atom_site_type_symbol
_atom_site_fract_x
_atom_site_fract_y
_atom_site_fract_z
U1 U 0.0000 0.0000 0.0000
Be1 Be 0.0000 0.0000 0.6746
Ge1 Ge 0.0000 0.0000 0.2942
```

---

2.
A plane-wave DFT calculation with GGA-PBE was carried out for a relaxed Be4VGe crystal.

Computed properties:
- calculated density (Mg/m³) = 4.3
- raw total energy (eV/atom) = -4.67

CIF file:
```
data_Be4VGe
_symmetry_space_group_name_H-M 'F -4 3 m'
_symmetry_Int_Tables_number 216
_symmetry_space_group_name_Hall 'F -4 2 3'
_cell_length_a 6.2865
_cell_length_b 6.2865
_cell_length_c 6.2865
_cell_angle_alpha 90.00
_cell_angle_beta 90.00
_cell_angle_gamma 90.00
loop_
_atom_site_label
_atom_site_type_symbol
_atom_site_fract_x
_atom_site_fract_y
_atom_site_fract_z
Be1 Be 0.1231 0.1231 0.1231
V1 V 0.2500 0.2500 0.7500
Ge1 Ge 0.0000 0.0000 0.5000
```

---

3.
A plane-wave DFT calculation with GGA-PBE was carried out for a relaxed BeV2Ge crystal.

Computed properties:
- energy relative to the lowest polymorph listed for this composition (meV per atom) = 75
- calculated density (Mg/m³) = 6.1
- raw total energy (eV/atom) = -6.81

CIF file:
```
data_BeV2Ge
_symmetry_space_group_name_H-M 'P 4/m m m'
_symmetry_Int_Tables_number 123
_symmetry_space_group_name_Hall '-P 4 2'
_cell_length_a 3.5913
_cell_length_b 3.5913
_cell_length_c 3.8463
_cell_angle_alpha 90.00
_cell_angle_beta 90.00
_cell_angle_gamma 90.00
loop_
_atom_site_label
_atom_site_type_symbol
_atom_site_fract_x
_atom_site_fract_y
_atom_site_fract_z
Be1 Be 0.0000 0.0000 0.0000
V1 V 0.0000 0.5000 0.5000
Ge1 Ge 0.5000 0.5000 0.0000
```

---

4.
A plane-wave DFT calculation with GGA-PBE was carried out for a relaxed Be2V5Ge crystal.

Computed properties:
- calculated density (Mg/m³) = 5.8
- raw total energy (eV/atom) = -7.40

CIF file:
```
data_Be2V5Ge
_symmetry_space_group_name_H-M 'I 4/m c m'
_symmetry_Int_Tables_number 140
_symmetry_space_group_name_Hall '-I 4 2c'
_cell_length_a 6.0751
_cell_length_b 6.0751
_cell_length_c 10.6989
_cell_angle_alpha 90.00
_cell_angle_beta 90.00
_cell_angle_gamma 90.00
loop_
_atom_site_label
_atom_site_type_symbol
_atom_site_fract_x
_atom_site_fract_y
_atom_site_fract_z
Be1 Be 0.1251 0.3749 0.0000
V1 V 0.0000 0.0000 0.0000
V2 V 0.1666 0.3334 0.3554
Ge1 Ge 0.0000 0.0000 0.2500
```